KGdNiS3 | OQMD via LeMat-Bulk | PBE-GGA | optimized geometry; energy above the lowest structure with this stoichiometry = 0.0 meV/atom; calculated total energy = -5.252 eV/atom
1.0
8.7226 0.0000 0.0000
0.0000 3.9406 0.0000
-2.6659 0.0000 8.8921
Gd K Ni S
2 2 2 6
Direct
0.3273 0.7500 0.3568 Gd
0.6727 0.2500 0.6432 Gd
0.7984 0.7500 0.2655 K
0.2016 0.2500 0.7345 K
0.0779 0.2500 0.0947 Ni
0.9221 0.7500 0.9053 Ni
0.1771 0.7500 0.0395 S
0.5432 0.2500 0.3394 S
0.1056 0.2500 0.3471 S
0.8944 0.7500 0.6529 S
0.4568 0.7500 0.6606 S
0.8229 0.2500 0.9605 S

KGdNiSe3 | OQMD via LeMat-Bulk | PBE-GGA | optimized geometry; energy above the lowest structure with this stoichiometry = 24.2 meV/atom; calculated total energy = -4.799 eV/atom
1.0
7.3652 -2.0485 0.0000
7.3652 2.0485 0.0000
0.0000 0.0000 10.7984
Gd K Ni Se
2 2 2 6
Direct
0.0000 0.0000 0.0000 Gd
0.0000 0.0000 0.5000 Gd
0.7473 0.7473 0.2500 K
0.2527 0.2527 0.7500 K
0.4768 0.4768 0.2500 Ni
0.5232 0.5232 0.7500 Ni
0.3757 0.3757 0.0768 Se
0.0680 0.0680 0.2500 Se
0.3757 0.3757 0.4232 Se
0.6243 0.6243 0.5768 Se
0.9320 0.9320 0.7500 Se
0.6243 0.6243 0.9232 Se

KGdNiSe3 | OQMD via LeMat-Bulk | PBE-GGA | optimized geometry; energy above the lowest structure with this stoichiometry = 47.6 meV/atom; calculated total energy = -4.776 eV/atom
1.0
11.2003 0.0000 0.0000
0.0000 4.2828 0.0000
0.0000 0.0000 12.3871
Gd K Ni Se
4 4 4 12
Direct
0.4914 0.5000 0.1663 Gd
0.9914 0.5000 0.3337 Gd
0.0086 0.0000 0.6663 Gd
0.5086 0.0000 0.8337 Gd
0.8324 0.5000 0.0017 K
0.3324 0.5000 0.4983 K
0.6676 0.0000 0.5017 K
0.1676 0.0000 0.9983 K
0.7389 0.0000 0.2147 Ni
0.2389 0.0000 0.2853 Ni
0.7611 0.5000 0.7147 Ni
0.2611 0.5000 0.7853 Ni
0.6171 0.0000 0.0536 Se
0.9488 0.0000 0.1801 Se
0.2242 0.5000 0.2109 Se
0.7242 0.5000 0.2891 Se
0.4488 0.0000 0.3199 Se
0.1171 0.0000 0.4464 Se
0.8829 0.5000 0.5536 Se
0.5512 0.5000 0.6801 Se
0.2758 0.0000 0.7109 Se
0.7758 0.0000 0.7891 Se
0.0512 0.5000 0.8199 Se
0.3829 0.5000 0.9464 Se

KGdNiSe3 | OQMD via LeMat-Bulk | PBE-GGA | optimized geometry; energy above the lowest structure with this stoichiometry = 0.0 meV/atom; calculated total energy = -4.823 eV/atom
1.0
9.0990 0.0000 0.0000
0.0000 4.0785 0.0000
-2.8241 0.0000 9.1209
Gd K Ni Se
2 2 2 6
Direct
0.3258 0.7500 0.3592 Gd
0.6742 0.2500 0.6408 Gd
0.7968 0.7500 0.2619 K
0.2032 0.2500 0.7381 K
0.0779 0.2500 0.0956 Ni
0.9221 0.7500 0.9044 Ni
0.1843 0.7500 0.0363 Se
0.5398 0.2500 0.3298 Se
0.1027 0.2500 0.3549 Se
0.8973 0.7500 0.6451 Se
0.4602 0.7500 0.6702 Se
0.8157 0.2500 0.9637 Se

KGdYNi2 | OQMD via LeMat-Bulk | PBE-GGA | optimized geometry; calculated total energy = -4.815 eV/atom
1.0
3.7327 0.0000 0.0000
0.0000 2.0187 8.8628
0.0000 -2.0187 8.8628
Gd K Ni Y
1 1 2 1
Direct
0.0000 0.3321 0.3321 Gd
0.5000 0.0000 0.0000 K
0.5000 0.2083 0.2083 Ni
0.5000 0.7922 0.7922 Ni
0.0000 0.6672 0.6672 Y

K2Gd2O5 | OQMD via LeMat-Bulk | PBE-GGA | optimized geometry; energy above the lowest structure with this stoichiometry = 1136.6 meV/atom; calculated total energy = -5.079 eV/atom
1.0
-1.1134 2.1576 -6.6331
-3.2968 -2.8353 -0.3689
-2.7752 3.0378 1.4539
Gd K O
2 2 5
Direct
0.0000 0.0000 0.0000 Gd
0.5000 0.0000 0.0000 Gd
0.1844 0.5000 0.5000 K
0.8156 0.5000 0.5000 K
0.2126 0.5000 0.0000 O
0.7874 0.5000 0.0000 O
0.2126 0.0000 0.5000 O
0.7874 0.0000 0.5000 O
0.5000 0.5000 0.5000 O

K2GdO4 | OQMD via LeMat-Bulk | PBE-GGA | optimized geometry; calculated total energy = -5.116 eV/atom
1.0
-5.0735 0.4180 -5.3199
4.9250 5.4116 0.8223
2.1393 -6.5668 -2.5529
Gd K O
2 4 8
Direct
0.0000 0.0000 0.0000 Gd
0.7500 0.5000 0.2500 Gd
0.3750 0.7500 0.1250 K
0.3750 0.7500 0.6250 K
0.8750 0.2500 0.6250 K
0.3750 0.2500 0.6250 K
0.1193 0.2388 0.3581 O
0.1081 0.7388 0.3693 O
0.6305 0.2612 0.3693 O
0.6307 0.7388 0.3695 O
0.1193 0.7612 0.8805 O
0.1195 0.2388 0.8807 O
0.6419 0.7612 0.8807 O
0.6307 0.2612 0.8919 O

KGdO3 | OQMD via LeMat-Bulk | PBE-GGA | optimized geometry; calculated total energy = -5.958 eV/atom
1.0
-2.6391 -5.0377 -2.6232
3.8205 -3.7301 3.3198
-5.9720 -0.2839 6.5535
Gd K O
4 4 12
Direct
0.5000 0.0000 0.0000 Gd
0.0000 0.5000 0.0000 Gd
0.5000 0.0000 0.5000 Gd
0.0000 0.5000 0.5000 Gd
0.9976 0.0114 0.2500 K
0.5024 0.5114 0.2500 K
0.4976 0.4886 0.7500 K
0.0024 0.9886 0.7500 K
0.7258 0.2737 0.0235 O
0.7742 0.7737 0.0235 O
0.0448 0.4822 0.2500 O
0.4552 0.9822 0.2500 O
0.7258 0.2737 0.4765 O
0.7742 0.7737 0.4765 O
0.2258 0.2263 0.5235 O
0.2742 0.7262 0.5235 O
0.5448 0.0178 0.7500 O
0.9552 0.5178 0.7500 O
0.2258 0.2263 0.9765 O
0.2742 0.7262 0.9765 O